[1]
# Y8Te4SeS3, relaxed, DFT GGA-PBE
data_Y8Te4SeS3
_cell_length_a 8.2613
_cell_length_b 8.2613
_cell_length_c 20.8330
_cell_angle_alpha 90.00
_cell_angle_beta 90.00
_cell_angle_gamma 120.00
_space_group_name_H-M_alt 'R -3 m'
_space_group_IT_number 166
_space_group_name_Hall '-R 3 2"'
loop_
_atom_site_label
_atom_site_fract_x
_atom_site_fract_y
_atom_site_fract_z
Y1 0.0000 0.0000 0.2342
Y2 0.0101 0.5051 0.7649
Te1 0.0000 0.0000 0.0000
Te2 0.0000 0.5000 0.0000
Se1 0.0000 0.0000 0.5000
S1 0.0000 0.5000 0.5000
# ΔE_f (raw): -26.288 eV per formula unit
# DOS at the Fermi energy: 0.346 states/eV/atom
# Magnetic moment: 0.0 μB per formula unit

---

[2]
# Y2TeSeS, relaxed, DFT GGA-PBE
data_Y2TeSeS
_cell_length_a 16.2495
_cell_length_b 4.4070
_cell_length_c 11.1393
_cell_angle_alpha 90.00
_cell_angle_beta 132.22
_cell_angle_gamma 90.00
_space_group_name_H-M_alt 'C 1 2/m 1'
_space_group_IT_number 12
loop_
_space_group_symop_operation_xyz
'x,y,z'
'-x,-y,-z'
'-x,y,-z'
'x,-y,z'
'x+1/2,y+1/2,z'
'-x+1/2,-y+1/2,-z'
'-x+1/2,y+1/2,-z'
'x+1/2,-y+1/2,z'
loop_
_atom_site_label
_atom_site_fract_x
_atom_site_fract_y
_atom_site_fract_z
Y1 0.0986 0.0000 0.3647
Y2 0.1749 0.5000 0.0640
Te1 0.1910 0.5000 0.6290
Se1 0.0650 0.5000 0.1870
S1 0.1311 0.0000 0.8771
# ΔE_f (raw): -8.565 eV per formula unit
# DOS at the Fermi energy: 0.000 states/eV/atom
# Magnetic moment: 0.0 μB per formula unit

---

[3]
# Y6TeSe2S3, relaxed, DFT GGA-PBE
data_Y6TeSe2S3
_cell_length_a 17.7644
_cell_length_b 4.0246
_cell_length_c 8.1905
_cell_angle_alpha 90.00
_cell_angle_beta 104.33
_cell_angle_gamma 90.00
_space_group_name_H-M_alt 'C 1 2/m 1'
_space_group_IT_number 12
loop_
_space_group_symop_operation_xyz
'x,y,z'
'-x,-y,-z'
'-x,y,-z'
'x,-y,z'
'x+1/2,y+1/2,z'
'-x+1/2,-y+1/2,-z'
'-x+1/2,y+1/2,-z'
'x+1/2,-y+1/2,z'
loop_
_atom_site_label
_atom_site_fract_x
_atom_site_fract_y
_atom_site_fract_z
Y1 0.0058 0.0000 0.2209
Y2 0.1608 0.5000 0.0976
Y3 0.1779 0.5000 0.5684
Te1 0.0000 0.5000 0.5000
Se1 0.1675 0.0000 0.8331
S1 0.0000 0.5000 0.0000
S2 0.1646 0.0000 0.3303
# ΔE_f (raw): -21.725 eV per formula unit
# DOS at the Fermi energy: 0.317 states/eV/atom
# Magnetic moment: 0.0 μB per formula unit

---

[4]
# Zn4TeSe2S, relaxed, DFT GGA-PBE
data_Zn4TeSe2S
_cell_length_a 5.7772
_cell_length_b 5.7772
_cell_length_c 11.5183
_cell_angle_alpha 90.00
_cell_angle_beta 90.00
_cell_angle_gamma 90.00
_space_group_name_H-M_alt 'I -4 2 m'
_space_group_IT_number 121
_space_group_name_Hall 'I -4 2'
loop_
_atom_site_label
_atom_site_fract_x
_atom_site_fract_y
_atom_site_fract_z
Zn1 0.2305 0.2305 0.3739
Te1 0.0000 0.0000 0.0000
Se1 0.0000 0.5000 0.2500
S1 0.0000 0.0000 0.5000
# ΔE_f (raw): -5.244 eV per formula unit
# Magnetic moment: 0.0 μB per formula unit

---

[5]
# Th4SeS3, relaxed, DFT GGA-PBE
data_Th4SeS3
_cell_length_a 8.1381
_cell_length_b 11.5702
_cell_length_c 4.0957
_cell_angle_alpha 90.00
_cell_angle_beta 90.00
_cell_angle_gamma 90.00
_space_group_name_H-M_alt 'C m m m'
_space_group_IT_number 65
_space_group_name_Hall '-C 2 2'
loop_
_atom_site_label
_atom_site_fract_x
_atom_site_fract_y
_atom_site_fract_z
Th1 0.0000 0.2446 0.0000
Th2 0.2386 0.0000 0.5000
Se1 0.0000 0.5000 0.0000
S1 0.0000 0.0000 0.0000
S2 0.2500 0.2500 0.5000
# ΔE_f (raw): -14.107 eV per formula unit
# DOS at the Fermi energy: 0.606 states/eV/atom
# Magnetic moment: 0.0 μB per formula unit

---

[6]
# Th4SeS5, relaxed, DFT GGA-PBE
data_Th4SeS5
_cell_length_a 17.7876
_cell_length_b 4.1421
_cell_length_c 8.0834
_cell_angle_alpha 90.00
_cell_angle_beta 105.50
_cell_angle_gamma 90.00
_space_group_name_H-M_alt 'C 1 2/m 1'
_space_group_IT_number 12
loop_
_space_group_symop_operation_xyz
'x,y,z'
'-x,-y,-z'
'-x,y,-z'
'x,-y,z'
'x+1/2,y+1/2,z'
'-x+1/2,-y+1/2,-z'
'-x+1/2,y+1/2,-z'
'x+1/2,-y+1/2,z'
loop_
_atom_site_label
_atom_site_fract_x
_atom_site_fract_y
_atom_site_fract_z
Th1 0.0000 0.0000 0.2428
Th2 0.1707 0.5000 0.6111
Se1 0.0000 0.5000 0.5000
S1 0.0000 0.5000 0.0000
S2 0.1643 0.0000 0.8347
S3 0.1683 0.0000 0.3598
# ΔE_f (raw): -17.858 eV per formula unit
# DOS at the Fermi energy: 0.509 states/eV/atom
# Magnetic moment: 0.0 μB per formula unit

---

[7]
# Th2Se3S, relaxed, DFT GGA-PBE
data_Th2Se3S
_cell_length_a 16.2578
_cell_length_b 4.8834
_cell_length_c 8.4889
_cell_angle_alpha 90.00
_cell_angle_beta 100.26
_cell_angle_gamma 90.00
_space_group_name_H-M_alt 'C 1 2/m 1'
_space_group_IT_number 12
loop_
_space_group_symop_operation_xyz
'x,y,z'
'-x,-y,-z'
'-x,y,-z'
'x,-y,z'
'x+1/2,y+1/2,z'
'-x+1/2,-y+1/2,-z'
'-x+1/2,y+1/2,-z'
'x+1/2,-y+1/2,z'
loop_
_atom_site_label
_atom_site_fract_x
_atom_site_fract_y
_atom_site_fract_z
Th1 0.1178 0.0000 0.3806
Th2 0.1247 0.5000 0.8680
Se1 0.0606 0.5000 0.1880
Se2 0.1847 0.0000 0.0620
Se3 0.1890 0.5000 0.5630
S1 0.0628 0.0000 0.6848
# ΔE_f (raw): -10.795 eV per formula unit
# DOS at the Fermi energy: 0.000 states/eV/atom
# Magnetic moment: 0.0 μB per formula unit

---

[8]
# Th4SeS6, relaxed, DFT GGA-PBE
data_Th4SeS6
_cell_length_a 8.5697
_cell_length_b 8.5697
_cell_length_c 4.0213
_cell_angle_alpha 90.00
_cell_angle_beta 90.00
_cell_angle_gamma 120.00
_space_group_name_H-M_alt 'P -6 m 2'
_space_group_IT_number 187
_space_group_name_Hall 'P -6 2'
loop_
_atom_site_label
_atom_site_fract_x
_atom_site_fract_y
_atom_site_fract_z
Th1 0.0000 0.0000 0.0000
Th2 0.0202 0.5101 0.5000
Se1 0.6667 0.3333 0.0000
S1 0.2057 0.4115 0.0000
S2 0.2713 0.1357 0.5000
# ΔE_f (raw): -21.342 eV per formula unit
# DOS at the Fermi energy: 0.311 states/eV/atom
# Magnetic moment: 0.0 μB per formula unit

---

What did the fifth record say?
# Th4SeS3, relaxed, DFT GGA-PBE
data_Th4SeS3
_cell_length_a 8.1381
_cell_length_b 11.5702
_cell_length_c 4.0957
_cell_angle_alpha 90.00
_cell_angle_beta 90.00
_cell_angle_gamma 90.00
_space_group_name_H-M_alt 'C m m m'
_space_group_IT_number 65
_space_group_name_Hall '-C 2 2'
loop_
_atom_site_label
_atom_site_fract_x
_atom_site_fract_y
_atom_site_fract_z
Th1 0.0000 0.2446 0.0000
Th2 0.2386 0.0000 0.5000
Se1 0.0000 0.5000 0.0000
S1 0.0000 0.0000 0.0000
S2 0.2500 0.2500 0.5000
# ΔE_f (raw): -14.107 eV per formula unit
# DOS at the Fermi energy: 0.606 states/eV/atom
# Magnetic moment: 0.0 μB per formula unit

---

- Which formula does entry 2 have?
  Y2TeSeS